A plane-wave DFT calculation with PBE-GGA was carried out for a geometry-optimized Pm3HoHg2 structure.

Cell lengths 7.2399, 14.7970, 7.5894 Å; angles 90.00, 90.00, 90.00 degrees
Last column: nearest neighbours and their distance in Å.
Space group Ibam (No. 72)
One atom of each set of equivalent atoms:
Pm 0.0000 0.0000 0.2500 x4  4 Hg 3.14
Pm 0.0000 0.2728 0.2500 x8  4 Hg 3.12-3.16
Ho 0.0000 0.5000 0.0000 x4  2 Hg 2.96
Hg 0.2023 0.1375 0.0000 x8  1 Ho 2.96, 6 Pm 3.12-3.16

calculated formation energy	-7.5	kJ/mol of atoms
total magnetic moment	0.00	Bohr magnetons per cell